This record from the Alexandria database describes a crystal of BeReAs2 relaxed with PBEsol. The functional is SCAN.

```
data_BeReAs2
_cell_length_a 8.126
_cell_length_b 3.063
_cell_length_c 4.585
_cell_angle_alpha 90.00
_cell_angle_beta 93.93
_cell_angle_gamma 90.00
_space_group_name_H-M_alt 'C 1 2/m 1'
_space_group_IT_number 12
_space_group_name_Hall '-C 2y'
loop_
_atom_site_label
_atom_site_type_symbol
_atom_site_fract_x
_atom_site_fract_y
_atom_site_fract_z
Be1 Be 0.000 0.000 0.000
Re1 Re 0.000 0.500 0.500
As1 As 0.224 0.000 0.746
```

## Properties
E, hartree per atom: -1.0544
Density of states at the Fermi level, states/eV per atom: 0.5114
Formation enthalpy at 0 K, eV/atom: 0.267